(1)
This record from Alexandria describes a crystal of MnSbBr2 relaxed with PBEsol. The functional is SCAN.

Cell: 7.1118 7.1118 7.1118 Å, 90.00 90.00 90.00°
Space group Fm-3m (No. 225)
Unique sites:
Mn 0.0000 0.0000 0.0000 x4
Sb 0.0000 0.0000 0.5000 x4
Br 0.2500 0.2500 0.2500 x8

Values from the calculation:
energy above the lowest structure with this stoichiometry	687	meV/atom
E	-93.47	eV per formula unit
total magnetization	16.4	μB per cell

***

(2)
This record from Alexandria describes a crystal of Mn2SbBr relaxed with PBEsol. The functional is SCAN.

Cell: 3.2962 3.2962 6.8215 Å, 90.00 90.00 90.00°
Space group P4/mmm (No. 123)
Unique sites:
Mn 0.0000 0.0000 0.2197 x2
Sb 0.5000 0.5000 0.0000 x1
Br 0.5000 0.5000 0.5000 x1

Values from the calculation:
energy above the lowest structure with this stoichiometry	303	meV/atom
E	-93.09	eV per formula unit
total magnetization	8.1	μB per cell

***

(3)
This record from Alexandria describes a crystal of MnSbBr2 relaxed with PBEsol. The functional is SCAN.

Cell: 3.2239 3.2239 10.3255 Å, 90.00 90.00 90.00°
Space group P4/mmm (No. 123)
Unique sites:
Mn 0.0000 0.0000 0.0000 x1
Sb 0.0000 0.0000 0.5000 x1
Br 0.5000 0.5000 0.1580 x2

Values from the calculation:
energy above the lowest structure with this stoichiometry	131	meV/atom
E	-95.70	eV per formula unit
total magnetization	4.7	μB per cell

***

(4)
This record from Alexandria describes a crystal of MnSbBr relaxed with PBEsol. The functional is SCAN.

Cell: 3.6643 5.5698 14.1205 Å, 90.00 90.00 90.00°
Space group Fmm2 (No. 42)
Unique sites:
Mn 0.0000 0.0000 0.0000 x4
Sb 0.0000 0.0000 0.6392 x4
Br 0.0000 0.0000 0.3788 x4

Values from the calculation:
E	-75.89	eV per formula unit
total magnetization	16.1	μB per cell

***

(5)
This record from Alexandria describes a crystal of MnSbBr2 relaxed with PBEsol. The functional is SCAN.

Cell: 9.1863 9.1863 5.1773 Å, 90.00 90.00 90.00°
Space group I-42d (No. 122)
Unique sites:
Mn 0.0000 0.0000 0.0000 x4
Sb 0.0000 0.0000 0.5000 x4
Br 0.1043 0.7500 0.1250 x8

Values from the calculation:
energy above the lowest structure with this stoichiometry	254	meV/atom
E	-95.21	eV per formula unit
total magnetization	12.1	μB per cell

***

(6)
This record from Alexandria describes a crystal of MnSbBr2 relaxed with PBEsol. The functional is SCAN.

Cell: 12.4583 3.4157 5.1719 Å, 90.00 102.59 90.00°
Space group C2/m (No. 12)
Unique sites:
Mn 0.0000 0.0000 0.0000 x2
Sb 0.0000 0.5000 0.5000 x2
Br 0.1609 0.5000 0.1945 x4

Values from the calculation:
energy above the lowest structure with this stoichiometry	69	meV/atom
E	-95.94	eV per formula unit
total magnetization	9.3	μB per cell

***

(7)
This record from Alexandria describes a crystal of Mn2SbBr relaxed with PBEsol. The functional is SCAN.

Cell: 3.3451 3.3451 7.1567 Å, 90.00 90.00 90.00°
Space group P4mm (No. 99)
Unique sites:
Mn 0.0000 0.0000 0.0000 x1
Mn 0.5000 0.5000 0.1982 x1
Sb 0.0000 0.0000 0.3830 x1
Br 0.5000 0.5000 0.8210 x1

Values from the calculation:
energy above the lowest structure with this stoichiometry	0	meV/atom
E	-94.31	eV per formula unit
total magnetization	7.6	μB per cell

***

(8)
This record from Alexandria describes a crystal of MnSbBr2 relaxed with PBEsol. The functional is SCAN.

Cell: 3.4750 5.3460 12.6770 Å, 90.00 90.00 90.00°
Space group Imm2 (No. 44)
Unique sites:
Mn 0.0000 0.0000 0.0000 x2
Sb 0.0000 0.5000 0.6636 x2
Br 0.0000 0.0000 0.5875 x2
Br 0.0000 0.5000 0.3616 x2

Values from the calculation:
energy above the lowest structure with this stoichiometry	0	meV/atom
E	-96.22	eV per formula unit
total magnetization	8.2	μB per cell

***

(9)
This record from Alexandria describes a crystal of MnSbBr4 relaxed with PBEsol. The functional is SCAN.

Cell: 8.5612 8.5612 8.5612 Å, 90.00 90.00 90.00°
Space group F-43m (No. 216)
Unique sites:
Mn 0.0000 0.0000 0.0000 x4
Sb 0.2500 0.2500 0.2500 x4
Br 0.1254 0.1254 0.6254 x16

Values from the calculation:
E	-129.09	eV per formula unit
total magnetization	23.3	μB per cell

***

(10)
This record from Alexandria describes a crystal of ScMn2Br relaxed with PBEsol. The functional is SCAN.

Cell: 5.4318 9.7157 3.0898 Å, 90.00 123.66 90.00°
Space group C2/m (No. 12)
Unique sites:
Sc 0.0000 0.0000 0.0000 x2
Mn 0.2500 0.2500 0.5000 x4
Br 0.0000 0.5000 0.0000 x2

Values from the calculation:
energy above the lowest structure with this stoichiometry	47	meV/atom
E	-70.11	eV per formula unit
total magnetization	14.1	μB per cell

***

(11)
This record from Alexandria describes a crystal of ScMn3Br relaxed with PBEsol. The functional is SCAN.

Cell: 4.7615 4.7615 4.7615 Å, 90.00 90.00 90.00°
Space group Pm-3m (No. 221)
Unique sites:
Sc 0.0000 0.0000 0.0000 x1
Mn 0.0000 0.0000 0.5000 x3
Br 0.5000 0.5000 0.5000 x1

Values from the calculation:
E	-82.74	eV per formula unit
total magnetization	10.7	μB per cell

***

(12)
This record from Alexandria describes a crystal of Sc2MnBr relaxed with PBEsol. The functional is SCAN.

Cell: 3.2879 3.2879 27.0826 Å, 90.00 90.00 120.00°
Space group R3m (No. 160, hexagonal axes)
Unique sites:
Sc 0.0000 0.0000 0.0000 x3
Sc 0.0000 0.0000 0.2376 x3
Mn 0.0000 0.0000 0.4927 x3
Br 0.0000 0.0000 0.7396 x3

Values from the calculation:
energy above the lowest structure with this stoichiometry	0	meV/atom
E	-67.75	eV per formula unit
total magnetization	14.3	μB per cell

***

(13)
This record from Alexandria describes a crystal of ScMnBr2 relaxed with PBEsol. The functional is SCAN.

Cell: 3.2924 4.5670 12.1260 Å, 90.00 90.00 90.00°
Space group Imm2 (No. 44)
Unique sites:
Sc 0.0000 0.0000 0.0000 x2
Mn 0.0000 0.5000 0.3060 x2
Br 0.0000 0.0000 0.4544 x2
Br 0.0000 0.5000 0.6806 x2

Values from the calculation:
energy above the lowest structure with this stoichiometry	34	meV/atom
E	-74.19	eV per formula unit
total magnetization	8.0	μB per cell

***

(14)
This record from Alexandria describes a crystal of Sc2MnBr relaxed with PBEsol. The functional is SCAN.

Cell: 3.3864 3.3864 25.5950 Å, 90.00 90.00 120.00°
Space group R-3m (No. 166, hexagonal axes)
Unique sites:
Sc 0.0000 0.0000 0.1017 x6
Mn 0.0000 0.0000 0.5000 x3
Br 0.0000 0.0000 0.0000 x3

Values from the calculation:
energy above the lowest structure with this stoichiometry	227	meV/atom
E	-66.84	eV per formula unit
total magnetization	0.0	μB per cell

***

(15)
This record from Alexandria describes a crystal of Sc2MnBr relaxed with PBEsol. The functional is SCAN.

Cell: 3.1555 4.6366 5.2847 Å, 90.00 90.00 90.00°
Space group Pmmm (No. 47)
Unique sites:
Sc 0.0000 0.0000 0.0000 x1
Sc 0.5000 0.5000 0.5000 x1
Mn 0.0000 0.0000 0.5000 x1
Br 0.5000 0.5000 0.0000 x1

Values from the calculation:
energy above the lowest structure with this stoichiometry	137	meV/atom
E	-67.20	eV per formula unit
total magnetization	2.7	μB per cell

***

(16)
This record from Alexandria describes a crystal of ScMn2Br relaxed with PBEsol. The functional is SCAN.

Cell: 3.4566 3.4566 5.5978 Å, 90.00 90.00 90.00°
Space group P4/mmm (No. 123)
Unique sites:
Sc 0.0000 0.0000 0.0000 x1
Mn 0.5000 0.5000 0.2369 x2
Br 0.0000 0.0000 0.5000 x1

Values from the calculation:
energy above the lowest structure with this stoichiometry	0	meV/atom
E	-70.30	eV per formula unit
total magnetization	6.2	μB per cell

***

(17)
This record from Alexandria describes a crystal of ScMn2Br relaxed with PBEsol. The functional is SCAN.

Cell: 3.1482 4.4838 4.7830 Å, 90.00 90.00 90.00°
Space group Pmmm (No. 47)
Unique sites:
Sc 0.0000 0.0000 0.0000 x1
Mn 0.0000 0.5000 0.5000 x1
Mn 0.5000 0.0000 0.5000 x1
Br 0.5000 0.5000 0.0000 x1

Values from the calculation:
energy above the lowest structure with this stoichiometry	13	meV/atom
E	-70.25	eV per formula unit
total magnetization	6.7	μB per cell

***

(18)
This record from Alexandria describes a crystal of ScMnBr2 relaxed with PBEsol. The functional is SCAN.

Cell: 3.4175 3.4175 28.5152 Å, 90.00 90.00 120.00°
Space group R-3m (No. 166, hexagonal axes)
Unique sites:
Sc 0.0000 0.0000 0.0000 x3
Mn 0.0000 0.0000 0.5000 x3
Br 0.0000 0.0000 0.2698 x6

Values from the calculation:
energy above the lowest structure with this stoichiometry	0	meV/atom
E	-74.33	eV per formula unit
total magnetization	13.8	μB per cell

***

(19)
This record from Alexandria describes a crystal of MnSeBr2 relaxed with PBEsol. The functional is SCAN.

Cell: 3.6511 3.6511 7.8681 Å, 90.00 90.00 90.00°
Space group P4mm (No. 99)
Unique sites:
Mn 0.0000 0.0000 0.0000 x1
Se 0.5000 0.5000 0.9258 x1
Br 0.0000 0.0000 0.2938 x1
Br 0.5000 0.5000 0.6215 x1

Values from the calculation:
energy above the lowest structure with this stoichiometry	30	meV/atom
E	-79.14	eV per formula unit
total magnetization	4.9	μB per cell

***

(20)
This record from Alexandria describes a crystal of MnSeBr relaxed with PBEsol. The functional is SCAN.

Cell: 3.2209 3.2209 12.1110 Å, 90.00 90.00 90.00°
Space group I4mm (No. 107)
Unique sites:
Mn 0.0000 0.0000 0.0000 x2
Se 0.0000 0.0000 0.6103 x2
Br 0.0000 0.0000 0.3506 x2

Values from the calculation:
E	-59.09	eV per formula unit
total magnetization	8.1	μB per cell

***

| no. | raw formation energy (eV/atom) |
| --- | --- |
| 1 | 0.240 |
| 2 | 0.035 |
| 3 | -0.316 |
| 4 | -0.303 |
| 5 | -0.193 |
| 6 | -0.377 |
| 7 | -0.269 |
| 8 | -0.447 |
| 9 | 0.711 |
| 10 | 0.024 |
| 11 | 1.144 |
| 12 | -0.390 |
| 13 | -0.695 |
| 14 | -0.163 |
| 15 | -0.252 |
| 16 | -0.023 |
| 17 | -0.010 |
| 18 | -0.730 |
| 19 | -0.471 |
| 20 | -0.433 |